Record 1
Here is an optimized crystal structure of Tb3SnSe2 from the Alexandria database. Energies are from PBE-GGA.

Unit cell a=4.228 b=5.971 c=7.284 alpha=114.20 beta=106.85 gamma=90.00
Atoms (fractional coordinates):
Tb  0.500  0.500  0.000
Tb  0.172  0.172  0.343
Tb  0.828  0.828  0.657
Sn  0.500  0.000  0.000
Se  0.166  0.665  0.330
Se  0.834  0.335  0.670

Values from the calculation:
Formation energy without anion corrections, eV per atom: -1.451
Relative energy among the computed polymorphs, meV per atom: 4
Crystal system: orthorhombic

---

Record 2
Here is an optimized crystal structure of ThCu2Ge from the Alexandria database. Energies are from PBE-GGA.

Unit cell a=4.179 b=4.179 c=5.468 alpha=67.54 beta=67.54 gamma=60.00
Atoms (fractional coordinates):
Ge  0.500  0.500  0.500
Cu  0.789  0.789  0.634
Cu  0.211  0.211  0.366
Th  0.000  0.000  0.000

Values from the calculation:
Crystal system: trigonal
E_form, meV per atom: -323

---

Record 3
Here is an optimized crystal structure of ScMo2Rh from the Alexandria database. Energies are from PBE-GGA.

Unit cell a=5.364 b=5.364 c=5.364 alpha=138.87 beta=138.87 gamma=59.57
Atoms (fractional coordinates):
Mo  0.000  0.000  0.000
Mo  0.500  0.500  0.000
Rh  0.250  0.750  0.500
Sc  0.750  0.250  0.500

Values from the calculation:
Relative energy among the computed polymorphs, meV per atom: 87
Crystal system: tetragonal
E_form, meV per atom: -131

---

| no. | M_tot (μB per formula unit) |
| --- | --- |
| 1 | 0.000 |
| 2 | 0.000 |
| 3 | 0.000 |